1.
PmSbPt4, optimized geometry, DFT PBE; total DFT energy (no corrections) = -0.4483 Ry/atom; crystal system = triclinic; space group = P-1 (2); DOS at the Fermi energy = 0.673 states/eV per atom
1.0
5.5887 0.0230 0.3065
-0.0113 4.4313 -0.1138
-2.4080 -1.9833 9.7413
Pt Sb Pm
8 2 2
direct
0.3664 0.4256 0.3504 Pt
0.4298 0.1346 0.7704 Pt
0.0748 0.8687 0.2367 Pt
0.8064 0.3409 0.1811 Pt
0.5702 0.8654 0.2296 Pt
0.9252 0.1313 0.7633 Pt
0.6336 0.5744 0.6496 Pt
0.1936 0.6591 0.8189 Pt
0.5000 0.0000 0.5000 Sb
0.0000 0.5000 0.5000 Sb
0.7360 0.7241 0.9484 Pm
0.2640 0.2759 0.0516 Pm


2.
Pm3SbPt8, optimized geometry, DFT PBE; total DFT energy (no corrections) = -0.4762 Ry/atom; crystal system = trigonal; space group = R3m (160); DOS at the Fermi energy = 0.424 states/eV per atom
1.0
-4.8247 1.4899 -2.2529
-3.6625 -3.8627 -1.4965
-6.5300 -0.4419 6.9067
Pt Sb Pm
8 1 3
direct
0.4283 0.9406 0.6905 Pt
0.9462 0.4400 0.1738 Pt
0.4400 0.9462 0.1738 Pt
0.1915 0.1915 0.4254 Pt
0.6894 0.6894 0.9319 Pt
0.9406 0.9406 0.6905 Pt
0.4400 0.4400 0.1738 Pt
0.9406 0.4283 0.6905 Pt
0.8529 0.8529 0.4414 Sb
0.3797 0.3797 0.8610 Pm
0.5113 0.5113 0.4660 Pm
0.9895 0.9895 0.0315 Pm


3.
Pm8Sb2Pt, optimized geometry, DFT PBE; total DFT energy (no corrections) = -0.3930 Ry/atom; crystal system = monoclinic; space group = C2/m (12); DOS at the Fermi energy = 1.071 states/eV per atom
1.0
4.7190 0.0000 0.0000
0.0000 7.6092 0.6832
-2.3595 -2.2722 9.3019
Pm Sb Pt
8 2 1
direct
0.0073 0.7780 0.0147 Pm
0.5955 0.5089 0.1909 Pm
0.4045 0.4911 0.8091 Pm
0.9927 0.2220 0.9853 Pm
0.7855 0.6497 0.5710 Pm
0.6513 0.0269 0.3026 Pm
0.3487 0.9731 0.6974 Pm
0.2145 0.3503 0.4290 Pm
0.8173 0.2355 0.6345 Sb
0.1827 0.7645 0.3655 Sb
0.5000 0.0000 0.0000 Pt


4.
PmSbPt3, optimized geometry, DFT PBE; total DFT energy (no corrections) = -0.3982 Ry/atom; crystal system = trigonal; space group = R3m (160); DOS at the Fermi energy = 0.624 states/eV per atom
1.0
5.0383 0.0334 0.0391
-0.6458 4.9968 0.0391
-0.6458 -0.7395 4.9419
Sb Pt Pm
1 3 1
direct
0.7038 0.7038 0.7038 Sb
0.3126 0.6860 0.3126 Pt
0.6860 0.3126 0.3126 Pt
0.3126 0.3126 0.6860 Pt
0.1101 0.1101 0.1101 Pm


5.
Pm2Sb2Pt7, optimized geometry, DFT PBE; total DFT energy (no corrections) = -0.4555 Ry/atom; crystal system = monoclinic; space group = C2/m (12); DOS at the Fermi energy = 0.389 states/eV per atom
1.0
5.2624 -0.9818 -0.7439
-1.2622 6.7469 -0.4801
-1.3141 1.0849 6.6709
Sb Pt Pm
2 7 2
direct
0.0684 0.3051 0.3052 Sb
0.9316 0.6949 0.6948 Sb
0.5253 0.2349 0.2348 Pt
0.8362 0.0843 0.5898 Pt
0.8362 0.5898 0.0843 Pt
0.4747 0.7651 0.7652 Pt
0.0000 0.0000 0.0000 Pt
0.1638 0.9157 0.4102 Pt
0.1638 0.4102 0.9157 Pt
0.5001 0.2210 0.7791 Pm
0.4999 0.7790 0.2209 Pm


6.
Pm4Sb2Pt, optimized geometry, DFT PBE; total DFT energy (no corrections) = -0.4031 Ry/atom; crystal system = tetragonal; space group = I4/mmm (139); DOS at the Fermi energy = 0.852 states/eV per atom
1.0
5.3198 0.0000 0.0000
0.0000 5.3198 0.0000
-2.6599 -2.6599 8.3017
Sb Pm Pt
2 4 1
direct
0.3658 0.3658 0.7315 Sb
0.6342 0.6342 0.2685 Sb
0.5000 0.0000 0.0000 Pm
0.0000 0.5000 0.0000 Pm
0.1766 0.1766 0.3532 Pm
0.8234 0.8234 0.6468 Pm
0.0000 0.0000 0.0000 Pt


7.
Pm2SbPt, optimized geometry, DFT PBE; total DFT energy (no corrections) = -0.4261 Ry/atom; crystal system = cubic; space group = Fm-3m (225); DOS at the Fermi energy = 1.093 states/eV per atom
1.0
-2.5208 -1.4947 4.3835
2.6222 -2.5137 3.8222
0.9824 2.4419 4.5690
Pm Sb Pt
2 1 1
direct
0.7500 0.7500 0.7500 Pm
0.2500 0.2500 0.2500 Pm
0.0000 0.0000 0.0000 Sb
0.5000 0.5000 0.5000 Pt


8.
Pm2SbPt6, optimized geometry, DFT PBE; total DFT energy (no corrections) = -0.4708 Ry/atom; crystal system = monoclinic; space group = C2/m (12); DOS at the Fermi energy = 0.482 states/eV per atom
1.0
-0.9802 -5.4000 -1.7569
5.0392 1.3916 2.3620
-0.9103 -1.8144 6.0846
Pt Pm Sb
6 2 1
direct
0.1240 0.7253 0.3193 Pt
0.6013 0.7253 0.3193 Pt
0.1242 0.2483 0.3157 Pt
0.8758 0.7517 0.6843 Pt
0.3987 0.2747 0.6807 Pt
0.8760 0.2747 0.6807 Pt
0.3582 0.7164 0.8470 Pm
0.6418 0.2836 0.1530 Pm
0.0000 0.0000 0.0000 Sb


9.
Pm4SbPt2, optimized geometry, DFT PBE; total DFT energy (no corrections) = -0.4390 Ry/atom; crystal system = orthorhombic; space group = Fdd2 (43); DOS at the Fermi energy = 1.037 states/eV per atom
1.0
7.8981 -1.2360 -0.1552
-1.8012 7.7870 0.1547
-2.9360 -3.3807 6.5687
Pm Sb Pt
8 2 4
direct
0.4987 0.6068 0.7530 Pm
0.2655 0.5022 0.1192 Pm
0.3964 0.1328 0.3807 Pm
0.8542 0.7462 0.2473 Pm
0.7521 0.0155 0.6195 Pm
0.8570 0.2490 0.2529 Pm
0.3828 0.1462 0.8807 Pm
0.9957 0.6039 0.7469 Pm
0.2495 0.7494 0.5000 Sb
0.9995 0.9995 0.0001 Sb
0.1216 0.2685 0.6410 Pt
0.7306 0.3776 0.8589 Pt
0.6275 0.4806 0.3586 Pt
0.5189 0.8719 0.1412 Pt


10.
Pm2SbPt, optimized geometry, DFT PBE; total DFT energy (no corrections) = -0.4307 Ry/atom; crystal system = tetragonal; space group = P4/mmm (123); DOS at the Fermi energy = 0.807 states/eV per atom
1.0
3.7241 0.0000 0.0000
0.0000 3.7241 0.0000
0.0000 0.0000 7.4660
Pm Sb Pt
2 1 1
direct
0.0000 0.0000 0.2291 Pm
0.0000 0.0000 0.7709 Pm
0.5000 0.5000 0.5000 Sb
0.5000 0.5000 0.0000 Pt


11.
PmSbPt2, optimized geometry, DFT PBE; total DFT energy (no corrections) = -0.4391 Ry/atom; crystal system = tetragonal; space group = P4/mmm (123); DOS at the Fermi energy = 0.436 states/eV per atom
1.0
-1.9289 -2.5190 -2.2348
3.4498 0.1328 -3.1273
2.1065 -3.5410 2.1733
Sb Pm Pt
1 1 2
direct
0.5000 0.0000 0.0000 Sb
0.5000 0.5000 0.5000 Pm
0.0000 0.0000 0.5000 Pt
0.0000 0.5000 0.0000 Pt


12.
PmSbPt10, optimized geometry, DFT PBE; total DFT energy (no corrections) = -0.4492 Ry/atom; crystal system = orthorhombic; space group = Pmmm (47); DOS at the Fermi energy = 0.825 states/eV per atom
1.0
4.4861 0.0000 0.0000
0.0000 5.3850 0.0000
0.0000 0.0000 9.2448
Pt Sb Pm
10 1 1
direct
0.0000 0.0000 0.3388 Pt
0.0000 0.5000 0.8239 Pt
0.5000 0.7530 0.7531 Pt
0.5000 0.0000 0.5000 Pt
0.0000 0.0000 0.6612 Pt
0.0000 0.5000 0.1761 Pt
0.5000 0.2470 0.7531 Pt
0.5000 0.2470 0.2469 Pt
0.5000 0.5000 0.0000 Pt
0.5000 0.7530 0.2469 Pt
0.0000 0.5000 0.5000 Sb
0.0000 0.0000 0.0000 Pm